# 1
The following is a DFT calculation (GGA-PBE) of a relaxed structure of YTc2Sb.

Energy relative to the elements, uncorrected, eV per atom: 0.43
Crystal system: orthorhombic
D(E_F), states/eV/atom: 1.275

Cell: 3.518 5.193 8.571 Å, 90.00 90.00 90.00°
Space group Cmmm (No. 65)
One atom of each set of equivalent atoms:
Y 0.000 0.000 0.000 x2
Tc 0.000 0.500 0.268 x4
Sb 0.000 0.000 0.500 x2

# 2
The following is a DFT calculation (GGA-PBE) of a relaxed structure of Nb5MoOs2.

Crystal system: tetragonal
Calculated formation energy, eV per formula unit: -1.95
D(E_F), states/eV/atom: 0.672

Cell: 6.461 6.461 6.433 Å, 90.00 90.00 90.00°
Space group I4/mmm (No. 139)
One atom of each set of equivalent atoms:
Nb 0.000 0.000 0.000 x2
Nb 0.250 0.250 0.250 x8
Mo 0.000 0.000 0.500 x2
Os 0.000 0.500 0.000 x4

Number 1: total moment 0.000 μB/f.u.. Number 2: total moment 0.000 μB/f.u..